Pm2NdMg3: relaxed, PBE-GGA.

Unit cell a=3.871 b=3.871 c=11.632 alpha=90.00 beta=90.00 gamma=90.00
Atoms (fractional coordinates):
Pm: 0.000 0.000 0.166
Pm: 0.000 0.000 0.834
Nd: 0.000 0.000 0.500
Mg: 0.500 0.500 0.000
Mg: 0.500 0.500 0.331
Mg: 0.500 0.500 0.669

## Properties
As for the space-group type: P4/mmm, No. 123.

***

Pm8NdMg2: relaxed, PBE-GGA.

Unit cell a=9.116 b=9.116 c=5.869 alpha=103.46 beta=103.46 gamma=121.20
Atoms (fractional coordinates):
Pm: 0.097 0.327 0.644
Pm: 0.211 0.789 0.000
Pm: 0.327 0.097 0.644
Pm: 0.413 0.413 0.206
Pm: 0.587 0.587 0.794
Pm: 0.673 0.903 0.356
Pm: 0.789 0.211 0.000
Pm: 0.903 0.673 0.356
Nd: 0.000 0.000 0.000
Mg: 0.307 0.693 0.500
Mg: 0.693 0.307 0.500

## Properties
The relative energy among the computed polymorphs is 105 meV per atom. As for the space-group type: C2/m, No. 12.

***

PmNdMg17: relaxed, PBE-GGA.

Unit cell a=7.812 b=7.812 c=7.812 alpha=82.27 beta=82.27 gamma=82.27
Atoms (fractional coordinates):
Pm: 0.000 0.000 0.000
Nd: 0.340 0.340 0.340
Mg: 0.023 0.023 0.511
Mg: 0.023 0.511 0.023
Mg: 0.171 0.670 0.670
Mg: 0.317 0.317 0.830
Mg: 0.317 0.830 0.317
Mg: 0.369 0.671 0.971
Mg: 0.369 0.971 0.671
Mg: 0.511 0.023 0.023
Mg: 0.572 0.572 0.572
Mg: 0.670 0.171 0.670
Mg: 0.670 0.670 0.171
Mg: 0.671 0.369 0.971
Mg: 0.671 0.971 0.369
Mg: 0.770 0.770 0.770
Mg: 0.830 0.317 0.317
Mg: 0.971 0.369 0.671
Mg: 0.971 0.671 0.369

## Properties
As for the space-group type: R3m, No. 160.

***

Pm12Nd5Mg2: relaxed, PBE-GGA.

Unit cell a=9.207 b=9.207 c=8.685 alpha=92.68 beta=92.68 gamma=60.74
Atoms (fractional coordinates):
Pm: 0.057 0.057 0.340
Pm: 0.065 0.678 0.315
Pm: 0.172 0.539 0.762
Pm: 0.322 0.935 0.685
Pm: 0.425 0.425 0.120
Pm: 0.461 0.828 0.238
Pm: 0.539 0.172 0.762
Pm: 0.575 0.575 0.880
Pm: 0.678 0.065 0.315
Pm: 0.828 0.461 0.238
Pm: 0.935 0.322 0.685
Pm: 0.943 0.943 0.660
Nd: 0.206 0.206 0.028
Nd: 0.268 0.268 0.430
Nd: 0.500 0.500 0.500
Nd: 0.732 0.732 0.570
Nd: 0.794 0.794 0.972
Mg: 0.164 0.836 0.000
Mg: 0.836 0.164 0.000

## Properties
As for the space-group type: C2/m, No. 12.

***

Pm3Nd2Mg2: relaxed, PBE-GGA.

Unit cell a=15.793 b=15.793 c=3.740 alpha=90.00 beta=90.00 gamma=166.07
Atoms (fractional coordinates):
Pm: 0.000 0.000 0.000
Pm: 0.420 0.580 0.500
Pm: 0.580 0.420 0.500
Nd: 0.296 0.704 0.500
Nd: 0.704 0.296 0.500
Mg: 0.141 0.859 0.000
Mg: 0.859 0.141 0.000

## Properties
As for the space-group type: Cmmm, No. 65.

***

PmNd3Mg4: relaxed, PBE-GGA.

Unit cell a=3.892 b=5.482 c=10.965 alpha=90.00 beta=90.00 gamma=90.00
Atoms (fractional coordinates):
Pm: 0.000 0.000 0.000
Nd: 0.000 0.000 0.500
Nd: 0.000 0.500 0.250
Nd: 0.000 0.500 0.750
Mg: 0.500 0.000 0.249
Mg: 0.500 0.000 0.751
Mg: 0.500 0.500 0.000
Mg: 0.500 0.500 0.500

## Properties
The relative energy among the computed polymorphs is 0 meV per atom. As for the space-group type: Pmmm, No. 47.

***

PmNd6Mg2: relaxed, PBE-GGA.

Unit cell a=6.174 b=6.174 c=8.845 alpha=90.00 beta=90.00 gamma=119.84
Atoms (fractional coordinates):
Pm: 0.000 0.000 0.000
Nd: 0.158 0.329 0.338
Nd: 0.327 0.673 0.000
Nd: 0.329 0.158 0.662
Nd: 0.671 0.842 0.662
Nd: 0.673 0.327 0.000
Nd: 0.842 0.671 0.338
Mg: 0.000 0.500 0.671
Mg: 0.500 0.000 0.329

## Properties
The relative energy among the computed polymorphs is 0 meV per atom. As for the space-group type: C222, No. 21.

***

PmNdMg3: relaxed, PBE-GGA.

Unit cell a=9.270 b=9.270 c=9.270 alpha=39.31 beta=39.31 gamma=39.31
Atoms (fractional coordinates):
Pm: 0.067 0.067 0.067
Pm: 0.933 0.933 0.933
Nd: 0.334 0.334 0.334
Nd: 0.666 0.666 0.666
Mg: 0.113 0.624 0.624
Mg: 0.376 0.376 0.887
Mg: 0.376 0.887 0.376
Mg: 0.624 0.113 0.624
Mg: 0.624 0.624 0.113
Mg: 0.887 0.376 0.376

## Properties
As for the space-group type: R-3m, No. 166.

***

| no. | E_form (eV per atom) | final energy (eV per atom) |
| --- | --- | --- |
| 1 | -0.108 | -3.284 |
| 2 | 0.115 | -4.063 |
| 3 | -0.053 | -1.980 |
| 4 | 0.081 | -4.342 |
| 5 | 0.029 | -3.824 |
| 6 | -0.113 | -3.292 |
| 7 | 0.060 | -4.001 |
| 8 | 0.004 | -2.857 |